A plane-wave DFT calculation with PBE was carried out for ScCdHRh2 after structural relaxation.

a b c (Å): 4.152 4.152 3.970
angles (deg): 90.00 90.00 90.00
Element x y z (fractional)
Sc (0.000, 0.000, 0.500)
H (0.000, 0.000, 0.000)
Rh (0.000, 0.500, 0.000)
Rh (0.500, 0.000, 0.000)
Cd (0.500, 0.500, 0.500)

Summary:
SG	P4/mmm, No. 123
Fermi-level density of states	0.20	states/eV/atom
mass density	8.84	g/cm3
excess energy over the best structure of this formula in the dataset	0	meV per atom